First-principles (PBE) data for a relaxed PmAl3Au2 crystal, as listed in the Alexandria database.

Properties
total magnetic moment: 0.000 μB per atom
crystal system: monoclinic
energy of formation: -577 meV/atom
ΔE to the lowest computed polymorph: 72 meV/atom
space group: No. 12

abc: 4.2361 8.0178 8.2550
angles: 114.17 90.00 105.32
With the nearest neighbours (Å) after each atom.
Fractional positions:
Au1 0.4827 0.9653 0.8228  4 Al 2.51-2.58, 1 Au 2.74
Au2 0.1829 0.3657 0.6599  6 Al 2.55-2.72
Au3 0.8171 0.6343 0.3401  6 Al 2.55-2.72
Au4 0.5173 0.0347 0.1772  4 Al 2.51-2.58, 1 Au 2.74
Al1 0.0203 0.0405 0.3572  3 Au 2.58-2.69, 1 Al 2.68
Al2 0.3210 0.6420 0.5488  4 Au 2.56-2.72
Al3 0.9797 0.9595 0.6428  3 Au 2.58-2.69, 1 Al 2.68
Al4 0.6294 0.2588 0.7646  3 Au 2.51-2.55
Al5 0.6790 0.3580 0.4512  4 Au 2.56-2.72
Al6 0.3706 0.7412 0.2354  3 Au 2.51-2.55
Pm1 0.8548 0.7097 0.9114  7 Al 3.17-3.52, 6 Au 3.19-3.34
Pm2 0.1452 0.2903 0.0886  7 Al 3.17-3.52, 6 Au 3.19-3.34


First-principles (PBE) data for a relaxed Pm2Al2Au5 crystal, as listed in the Alexandria database.

Properties
total magnetic moment: 0.000 μB per atom
crystal system: tetragonal
energy of formation: -617 meV/atom
space group: No. 123

abc: 4.6675 4.6675 8.7220
angles: 90.00 90.00 90.00
With the nearest neighbours (Å) after each atom.
Fractional positions:
Au1 0.0000 0.5000 0.7322  2 Al 2.55
Au2 0.0000 0.5000 0.2678  2 Al 2.55
Au3 0.5000 0.5000 0.5000  2 Al 3.06, 8 Au 3.09, 4 Pm 3.30
Au4 0.5000 0.0000 0.7322  2 Al 2.55
Au5 0.5000 0.0000 0.2678  2 Al 2.55
Al1 0.5000 0.5000 0.8511  4 Au 2.55, 1 Al 2.60
Al2 0.5000 0.5000 0.1489  4 Au 2.55, 1 Al 2.60
Pm1 0.0000 0.0000 0.0000  8 Au 3.30, 8 Al 3.55
Pm2 0.0000 0.0000 0.5000  12 Au 3.09-3.30


First-principles (PBE) data for a relaxed PmAlAu2 crystal, as listed in the Alexandria database.

Properties
total magnetic moment: 0.000 μB per atom
crystal system: orthorhombic
energy of formation: -729 meV/atom
ΔE to the lowest computed polymorph: 0 meV/atom
space group: No. 62

abc: 5.7572 7.1637 8.1261
angles: 90.00 90.00 90.00
With the nearest neighbours (Å) after each atom.
Fractional positions:
Au1 0.8902 0.4517 0.1770  3 Al 2.63-2.77, 1 Au 2.89
Au2 0.1098 0.5483 0.8230  3 Al 2.63-2.77, 1 Au 2.89
Au3 0.1098 0.9517 0.8230  3 Al 2.63-2.77, 1 Au 2.89
Au4 0.3902 0.9517 0.3230  3 Al 2.63-2.77, 1 Au 2.89
Au5 0.8902 0.0483 0.1770  3 Al 2.63-2.77, 1 Au 2.89
Au6 0.6098 0.4517 0.6770  3 Al 2.63-2.77, 1 Au 2.89
Au7 0.3902 0.5483 0.3230  3 Al 2.63-2.77, 1 Au 2.89
Au8 0.6098 0.0483 0.6770  3 Al 2.63-2.77, 1 Au 2.89
Pm1 0.8501 0.7500 0.4499  6 Au 3.09-3.19, 3 Al 3.16-3.24
Pm2 0.6499 0.7500 0.9499  6 Au 3.09-3.19, 3 Al 3.16-3.24
Pm3 0.1499 0.2500 0.5501  6 Au 3.09-3.19, 3 Al 3.16-3.24
Pm4 0.3501 0.2500 0.0501  6 Au 3.09-3.19, 3 Al 3.16-3.24
Al1 0.6492 0.2500 0.3873  6 Au 2.63-2.77
Al2 0.8508 0.2500 0.8873  6 Au 2.63-2.77
Al3 0.1492 0.7500 0.1127  6 Au 2.63-2.77
Al4 0.3508 0.7500 0.6127  6 Au 2.63-2.77


First-principles (PBE) data for a relaxed PmAl2Au8 crystal, as listed in the Alexandria database.

Properties
total magnetic moment: 0.000 μB per atom
crystal system: tetragonal
energy of formation: -212 meV/atom
ΔE to the lowest computed polymorph: 194 meV/atom
space group: No. 123

abc: 5.6811 5.6811 7.9383
angles: 90.00 90.00 90.00
With the nearest neighbours (Å) after each atom.
Fractional positions:
Au1 0.2451 0.2451 0.2141  2 Al 2.63, 4 Au 2.78-2.90
Au2 0.7549 0.2451 0.7859  2 Al 2.63, 4 Au 2.78-2.90
Au3 0.2451 0.2451 0.7859  2 Al 2.63, 4 Au 2.78-2.90
Au4 0.2451 0.7549 0.2141  2 Al 2.63, 4 Au 2.78-2.90
Au5 0.7549 0.7549 0.2141  2 Al 2.63, 4 Au 2.78-2.90
Au6 0.7549 0.7549 0.7859  2 Al 2.63, 4 Au 2.78-2.90
Au7 0.7549 0.2451 0.2141  2 Al 2.63, 4 Au 2.78-2.90
Au8 0.2451 0.7549 0.7859  2 Al 2.63, 4 Au 2.78-2.90
Al1 0.5000 0.0000 0.0000  8 Au 2.63
Al2 0.0000 0.5000 0.0000  8 Au 2.63
Pm1 0.5000 0.5000 0.5000  8 Au 3.06


First-principles (PBE) data for a relaxed PmAlAu2 crystal, as listed in the Alexandria database.

Properties
total magnetic moment: 0.000 μB per atom
crystal system: trigonal
energy of formation: -690 meV/atom
ΔE to the lowest computed polymorph: 39 meV/atom
space group: No. 166

abc: 4.4632 4.4632 5.6804
angles: 66.87 66.87 60.00
With the nearest neighbours (Å) after each atom.
Fractional positions:
Al1 0.5000 0.5000 0.5000  6 Au 2.69
Pm1 0.0000 0.0000 0.0000  8 Au 3.12-3.31
Au1 0.2178 0.2178 0.3466  3 Al 2.69, 3 Au 3.01
Au2 0.7822 0.7822 0.6534  3 Al 2.69, 3 Au 3.01


First-principles (PBE) data for a relaxed Pm2Al3Au4 crystal, as listed in the Alexandria database.

Properties
total magnetic moment: 0.000 μB per atom
crystal system: orthorhombic
energy of formation: -687 meV/atom
space group: No. 64

abc: 5.9129 7.8116 8.4427
angles: 90.00 110.50 90.00
With the nearest neighbours (Å) after each atom.
Fractional positions:
Au1 0.6914 0.7500 0.8827  3 Al 2.62-2.68
Au2 0.3086 0.2500 0.1173  3 Al 2.62-2.68
Au3 0.1827 0.9741 0.3653  5 Al 2.69-2.90
Au4 0.1914 0.7500 0.8827  3 Al 2.62-2.68
Au5 0.8086 0.2500 0.1173  3 Al 2.62-2.68
Au6 0.3173 0.4741 0.6347  5 Al 2.69-2.90
Au7 0.6827 0.5259 0.3653  5 Al 2.69-2.90
Au8 0.8173 0.0259 0.6347  5 Al 2.69-2.90
Pm1 0.1072 0.5943 0.2143  8 Au 3.16-3.45, 4 Al 3.23-3.49
Pm2 0.6072 0.9057 0.2143  8 Au 3.16-3.45, 4 Al 3.23-3.49
Pm3 0.8928 0.4057 0.7857  8 Au 3.16-3.45, 4 Al 3.23-3.49
Pm4 0.3928 0.0943 0.7857  8 Au 3.16-3.45, 4 Al 3.23-3.49
Al1 0.9783 0.2500 0.4566  5 Au 2.68-2.71, 2 Al 2.96
Al2 0.4783 0.2500 0.4566  5 Au 2.68-2.71, 2 Al 2.96
Al3 0.5000 0.5000 0.0000  6 Au 2.62-2.90
Al4 0.5217 0.7500 0.5434  5 Au 2.68-2.71, 2 Al 2.96
Al5 0.0217 0.7500 0.5434  5 Au 2.68-2.71, 2 Al 2.96
Al6 0.0000 0.0000 0.0000  6 Au 2.62-2.90


First-principles (PBE) data for a relaxed PmAlAu2 crystal, as listed in the Alexandria database.

Properties
total magnetic moment: 0.000 μB per atom
crystal system: tetragonal
energy of formation: -553 meV/atom
ΔE to the lowest computed polymorph: 176 meV/atom
space group: No. 123

abc: 3.3126 3.3126 7.3862
angles: 90.00 90.00 90.00
With the nearest neighbours (Å) after each atom.
Fractional positions:
Au1 0.0000 0.0000 0.7938  4 Al 2.79, 1 Au 3.05
Au2 0.0000 0.0000 0.2062  4 Al 2.79, 1 Au 3.05
Al1 0.5000 0.5000 0.0000  8 Au 2.79
Pm1 0.5000 0.5000 0.5000  8 Au 3.19, 4 Pm 3.31


First-principles (PBE) data for a relaxed Pm2Al7Au12 crystal, as listed in the Alexandria database.

Properties
total magnetic moment: 0.000 μB per atom
crystal system: hexagonal
energy of formation: -519 meV/atom
space group: No. 174

abc: 4.2803 10.3417 10.3417
angles: 120.00 90.00 90.00
With the nearest neighbours (Å) after each atom.
Fractional positions:
Al1 0.0000 0.7032 0.9127  5 Au 2.57-2.70
Al2 0.0000 0.3333 0.6667  9 Au 2.59-2.85
Al3 0.5000 0.6514 0.5841  7 Au 2.53-2.71
Al4 0.5000 0.4159 0.0674  7 Au 2.53-2.71
Al5 0.5000 0.9326 0.3486  7 Au 2.53-2.71
Al6 0.0000 0.2095 0.2968  5 Au 2.57-2.70
Al7 0.0000 0.0873 0.7905  5 Au 2.57-2.70
Pm1 0.0000 0.6667 0.3333  12 Au 3.31-3.67, 6 Al 3.43
Pm2 0.5000 0.0000 0.0000  6 Au 3.22, 6 Al 3.47
Au1 0.0000 0.4891 0.5330  4 Al 2.59-2.70
Au2 0.5000 0.2270 0.4569  5 Al 2.66-2.85, 1 Au 2.97
Au3 0.0000 0.8172 0.7384  4 Al 2.57-2.71
Au4 0.5000 0.5431 0.7701  5 Al 2.66-2.85, 1 Au 2.97
Au5 0.0000 0.9211 0.1828  4 Al 2.57-2.71
Au6 0.5000 0.2299 0.7730  5 Al 2.66-2.85, 1 Au 2.97
Au7 0.0000 0.2616 0.0789  4 Al 2.57-2.71
Au8 0.5000 0.6899 0.1015  2 Al 2.53-2.67
Au9 0.0000 0.0439 0.5109  4 Al 2.59-2.70
Au10 0.0000 0.4670 0.9561  4 Al 2.59-2.70
Au11 0.5000 0.8985 0.5884  2 Al 2.53-2.67
Au12 0.5000 0.4116 0.3101  2 Al 2.53-2.67


First-principles (PBE) data for a relaxed PmAlAu2 crystal, as listed in the Alexandria database.

Properties
total magnetic moment: 0.000 μB per atom
crystal system: tetragonal
energy of formation: -511 meV/atom
ΔE to the lowest computed polymorph: 218 meV/atom
space group: No. 123

abc: 3.7806 4.7648 4.7648
angles: 90.00 90.00 90.00
With the nearest neighbours (Å) after each atom.
Fractional positions:
Au1 0.0000 0.5000 0.0000  4 Al 3.04, 4 Pm 3.04, 4 Au 3.37
Au2 0.0000 0.0000 0.5000  4 Al 3.04, 4 Pm 3.04, 4 Au 3.37
Pm1 0.5000 0.5000 0.5000  8 Au 3.04, 4 Al 3.37
Al1 0.5000 0.0000 0.0000  8 Au 3.04, 4 Pm 3.37


First-principles (PBE) data for a relaxed PmAl2Au2 crystal, as listed in the Alexandria database.

Properties
total magnetic moment: 0.000 μB per atom
crystal system: tetragonal
energy of formation: -746 meV/atom
space group: No. 129

abc: 4.4058 4.4058 10.4947
angles: 90.00 90.00 90.00
With the nearest neighbours (Å) after each atom.
Fractional positions:
Al1 0.0000 0.5000 0.1318  5 Au 2.49-2.60
Al2 0.0000 0.0000 0.5000  4 Au 2.59
Al3 0.5000 0.5000 0.5000  4 Au 2.59
Al4 0.5000 0.0000 0.8682  5 Au 2.49-2.60
Pm1 0.0000 0.5000 0.7522  8 Al 3.34-3.44, 8 Au 3.37-3.41
Pm2 0.5000 0.0000 0.2478  8 Al 3.34-3.44, 8 Au 3.37-3.41
Au1 0.0000 0.0000 0.0000  4 Al 2.60
Au2 0.5000 0.0000 0.6306  5 Al 2.49-2.59
Au3 0.5000 0.5000 0.0000  4 Al 2.60
Au4 0.0000 0.5000 0.3694  5 Al 2.49-2.59


What did the first record say?
First-principles (PBE) data for a relaxed PmAl3Au2 crystal, as listed in the Alexandria database.

Properties
total magnetic moment: 0.000 μB per atom
crystal system: monoclinic
energy of formation: -577 meV/atom
ΔE to the lowest computed polymorph: 72 meV/atom
space group: No. 12

abc: 4.2361 8.0178 8.2550
angles: 114.17 90.00 105.32
With the nearest neighbours (Å) after each atom.
Fractional positions:
Au1 0.4827 0.9653 0.8228  4 Al 2.51-2.58, 1 Au 2.74
Au2 0.1829 0.3657 0.6599  6 Al 2.55-2.72
Au3 0.8171 0.6343 0.3401  6 Al 2.55-2.72
Au4 0.5173 0.0347 0.1772  4 Al 2.51-2.58, 1 Au 2.74
Al1 0.0203 0.0405 0.3572  3 Au 2.58-2.69, 1 Al 2.68
Al2 0.3210 0.6420 0.5488  4 Au 2.56-2.72
Al3 0.9797 0.9595 0.6428  3 Au 2.58-2.69, 1 Al 2.68
Al4 0.6294 0.2588 0.7646  3 Au 2.51-2.55
Al5 0.6790 0.3580 0.4512  4 Au 2.56-2.72
Al6 0.3706 0.7412 0.2354  3 Au 2.51-2.55
Pm1 0.8548 0.7097 0.9114  7 Al 3.17-3.52, 6 Au 3.19-3.34
Pm2 0.1452 0.2903 0.0886  7 Al 3.17-3.52, 6 Au 3.19-3.34